Pm8DyBi6, relaxed, DFT PBE; SG = No. 148; formation energy from the elements = -13.4 kcal/mol of atoms
1.0
4.1337 2.3866 8.7888
-4.1337 2.3866 8.7888
0.0000 -4.7732 8.7888
Pm Dy Bi
8 1 6
Direct
0.0388 0.7152 0.3799
0.1669 0.1669 0.1669
0.2848 0.6201 0.9612
0.3799 0.0388 0.7152
0.6201 0.9612 0.2848
0.7152 0.3799 0.0388
0.8331 0.8331 0.8331
0.9612 0.2848 0.6201
0.5000 0.5000 0.5000
0.1072 0.4329 0.7628
0.2372 0.8928 0.5671
0.4329 0.7628 0.1072
0.5671 0.2372 0.8928
0.7628 0.1072 0.4329
0.8928 0.5671 0.2372